1.
# LaTaRh

A relaxed LaTaRh crystal (PBE-GGA, Alexandria).

Cell and atoms, written as POSCAR:
```
LaTaRh
1.0
3.2783 0.0000 0.0000
-1.6391 2.8391 0.0000
0.0000 0.0000 7.0660
La Ta Rh
1 1 1
Direct
0.0000 0.0000 0.0000
0.3333 0.6667 0.6159
0.6667 0.3333 0.3675
```

Calculated values
**ΔH_f (0 K)**: 0.119 eV/atom
**Space group**: P3m1
**Uncorrected energy**: -7.9251 eV per atom
**Size of the total moment**: 0.00 μB per formula unit


2.
# Li5Cd2Hg12

A relaxed Li5Cd2Hg12 crystal (PBE-GGA, Alexandria).

Cell and atoms, written as POSCAR:
```
Li5Cd2Hg12
1.0
7.8114 -3.2949 0.0000
7.8114 3.2949 0.0000
-1.8942 0.0000 8.8563
Li Cd Hg
5 2 12
Direct
0.0000 0.0000 0.0000
0.2946 0.2946 0.1346
0.3578 0.3578 0.6328
0.6422 0.6422 0.3672
0.7054 0.7054 0.8654
0.2730 0.7270 0.5000
0.7270 0.2730 0.5000
0.0371 0.5708 0.3720
0.0803 0.0803 0.3070
0.1046 0.5877 0.9218
0.4123 0.8954 0.0782
0.4292 0.9629 0.6280
0.4775 0.4775 0.1770
0.5225 0.5225 0.8230
0.5708 0.0371 0.3720
0.5877 0.1046 0.9218
0.8954 0.4123 0.0782
0.9197 0.9197 0.6930
0.9629 0.4292 0.6280
```

Calculated values
**ΔH_f (0 K)**: -0.133 eV/atom
**Space group**: C2/m
**Uncorrected energy**: -0.9238 eV per atom
**Size of the total moment**: 0.00 μB per formula unit


3.
# PuCoI2

A relaxed PuCoI2 crystal (PBE-GGA, Alexandria).

Cell and atoms, written as POSCAR:
```
PuCoI2
1.0
1.9498 1.1257 9.3978
-1.9498 1.1257 9.3978
0.0000 -2.2514 9.3978
Pu Co I
1 1 2
Direct
0.0000 0.0000 0.0000
0.5000 0.5000 0.5000
0.1117 0.1117 0.1117
0.8883 0.8883 0.8883
```

Calculated values
**Space group**: R-3m
**Uncorrected energy**: -5.9697 eV per atom
**Size of the total moment**: 4.54 μB per formula unit
**Raw formation energy**: 0.165 eV/atom


4.
# Li5Ag8Au

A relaxed Li5Ag8Au crystal (PBE-GGA, Alexandria).

Cell and atoms, written as POSCAR:
```
Li5Ag8Au
1.0
-3.9444 3.9444 3.9047
3.9444 -3.9444 3.9047
3.9444 3.9444 -3.9047
Li Ag Au
5 8 1
Direct
0.0000 0.0000 0.0000
0.1894 0.2824 0.6509
0.4616 0.8106 0.0930
0.6315 0.5384 0.3491
0.7176 0.3685 0.9070
0.1662 0.4215 0.0704
0.3511 0.0958 0.9296
0.4226 0.1580 0.4014
0.5785 0.6489 0.7447
0.7567 0.0213 0.5986
0.8420 0.2433 0.2646
0.9042 0.8338 0.2553
0.9787 0.5774 0.7354
0.2500 0.7500 0.5000
```

Calculated values
**ΔH_f (0 K)**: -0.081 eV/atom
**Space group**: I-4
**Uncorrected energy**: -2.6274 eV per atom
**Size of the total moment**: 0.00 μB per formula unit


5.
# TiNiOs

A relaxed TiNiOs crystal (PBE-GGA, Alexandria).

Cell and atoms, written as POSCAR:
```
TiNiOs
1.0
4.2536 0.0000 0.0000
-2.1268 3.6837 0.0000
0.0000 0.0000 5.2351
Ti Ni Os
2 2 2
Direct
0.0000 0.0000 0.0000
0.3333 0.6667 0.3761
0.0000 0.0000 0.5011
0.6667 0.3333 0.6769
0.3333 0.6667 0.8737
0.6667 0.3333 0.1903
```

Calculated values
**ΔH_f (0 K)**: -0.321 eV/atom
**Space group**: P3m1
**Uncorrected energy**: -8.6234 eV per atom
**Size of the total moment**: 0.00 μB per formula unit


6.
# ErTm2Os

A relaxed ErTm2Os crystal (PBE-GGA, Alexandria).

Cell and atoms, written as POSCAR:
```
ErTm2Os
1.0
3.3632 0.0000 0.0000
0.0000 3.3632 0.0000
0.0000 0.0000 9.0219
Er Tm Os
1 2 1
Direct
0.0000 0.0000 0.0000
0.5000 0.5000 0.3187
0.5000 0.5000 0.6813
0.0000 0.0000 0.5000
```

Calculated values
**ΔH_f (0 K)**: -0.160 eV/atom
**Space group**: P4/mmm
**Uncorrected energy**: -6.3435 eV per atom
**Size of the total moment**: 0.00 μB per formula unit


Repeat the third record exactly.
# PuCoI2

A relaxed PuCoI2 crystal (PBE-GGA, Alexandria).

Cell and atoms, written as POSCAR:
```
PuCoI2
1.0
1.9498 1.1257 9.3978
-1.9498 1.1257 9.3978
0.0000 -2.2514 9.3978
Pu Co I
1 1 2
Direct
0.0000 0.0000 0.0000
0.5000 0.5000 0.5000
0.1117 0.1117 0.1117
0.8883 0.8883 0.8883
```

Calculated values
**Space group**: R-3m
**Uncorrected energy**: -5.9697 eV per atom
**Size of the total moment**: 4.54 μB per formula unit
**Raw formation energy**: 0.165 eV/atom